# GGA-PBE AlBr2Cl, optimized geometry
data_AlBr2Cl
_chemical_formula_sum 'Al1 Br2 Cl1'
_cell_length_a 3.602
_cell_length_b 7.630
_cell_length_c 7.630
_cell_angle_alpha 36.42
_cell_angle_beta 90.00
_cell_angle_gamma 90.00
_space_group_name_H-M_alt 'P 1'
_space_group_IT_number 1
_space_group_name_Hall 'P 1'
loop_
_atom_site_label
_atom_site_fract_x
_atom_site_fract_y
_atom_site_fract_z
Br1 0.000 0.629 0.629
Br2 0.000 0.871 0.871
Cl1 0.500 0.250 0.250
Al1 0.500 0.750 0.750
# Formation energy without anion corrections in meV/atom: -1110
# Energy above the most stable polymorph in this dataset in eV per atom: 0.084

---

# GGA-PBE Tb2PrCu6, optimized geometry
data_Tb2PrCu6
_chemical_formula_sum 'Tb2 Pr1 Cu6'
_cell_length_a 3.660
_cell_length_b 7.374
_cell_length_c 7.374
_cell_angle_alpha 120.00
_cell_angle_beta 90.00
_cell_angle_gamma 90.00
_space_group_name_H-M_alt 'P 1'
_space_group_IT_number 1
_space_group_name_Hall 'P 1'
loop_
_atom_site_label
_atom_site_fract_x
_atom_site_fract_y
_atom_site_fract_z
Cu1 0.500 0.336 0.336
Cu2 0.500 0.000 0.336
Cu3 0.500 0.664 0.000
Cu4 0.500 0.336 0.000
Cu5 0.500 0.000 0.664
Cu6 0.500 0.664 0.664
Pr1 0.000 0.000 0.000
Tb1 0.000 0.333 0.667
Tb2 0.000 0.667 0.333
# ΔE_f in eV/atom: -0.2347

---

What is the formula in the second record? Tb2PrCu6